[1]
## Cr2PbO (PBE+U)

Data for crystalline Cr2PbO at its relaxed geometry.

a = 4.6801 Å, b = 4.6801 Å, c = 4.6801 Å
α = 60.00°, β = 60.00°, γ = 60.00°
With the nearest neighbours (Å) after each atom.
Element x y z (fractional)
O 0.0000 0.0000 0.0000  8 Cr 2.87
Cr 0.7500 0.7500 0.7500  4 Pb 2.87, 4 O 2.87
Cr 0.2500 0.2500 0.2500  4 Pb 2.87, 4 O 2.87
Pb 0.5000 0.5000 0.5000  8 Cr 2.87

D(E_F)	2.788	states/eV per cell
V	72	Å³ per cell
total DFT energy (no corrections)	-5.46	eV/atom

[2]
## Cr3PbO (PBE+U)

Data for crystalline Cr3PbO at its relaxed geometry.

a = 4.2882 Å, b = 4.2882 Å, c = 4.2882 Å
α = 90.00°, β = 90.00°, γ = 90.00°
With the nearest neighbours (Å) after each atom.
Element x y z (fractional)
Cr 0.5000 0.0000 0.0000  2 O 2.14
Cr 0.0000 0.5000 0.0000  2 O 2.14
Cr 0.0000 0.0000 0.5000  2 O 2.14
Pb 0.5000 0.5000 0.5000  12 Cr 3.03
O 0.0000 0.0000 0.0000  6 Cr 2.14

D(E_F)	3.323	states/eV per cell
V	79	Å³ per cell
total DFT energy (no corrections)	-5.27	eV/atom

[3]
## Cr2PbO (PBE+U)

Data for crystalline Cr2PbO at its relaxed geometry.

a = 6.2963 Å, b = 6.2963 Å, c = 6.4072 Å
α = 60.57°, β = 60.57°, γ = 90.00°
With the nearest neighbours (Å) after each atom.
Element x y z (fractional)
O 0.5000 0.5000 0.0000  4 Cr 1.95
O 0.2500 0.7500 0.5000  4 Cr 1.95
Cr 0.3733 0.6250 0.2500  2 O 1.95
Cr 0.3750 0.6233 0.7500  2 O 1.95
Cr 0.8750 0.6267 0.7500  2 O 1.95
Cr 0.3767 0.1250 0.2500  2 O 1.95
Pb 0.0000 0.0000 0.0000  12 Cr 3.69-3.80, 4 O 3.90, 4 Pb 3.90
Pb 0.7500 0.2500 0.5000  12 Cr 3.69-3.80, 4 O 3.90, 4 Pb 3.90

D(E_F)	1.148	states/eV per cell
V	183	Å³ per cell
total DFT energy (no corrections)	-6.40	eV/atom

[4]
## CrPb2O (PBE+U)

Data for crystalline CrPb2O at its relaxed geometry.

a = 7.1900 Å, b = 7.1900 Å, c = 6.0934 Å
α = 53.84°, β = 53.84°, γ = 90.00°
With the nearest neighbours (Å) after each atom.
Element x y z (fractional)
Cr 0.0000 0.0000 0.0000  4 Pb 3.00, 2 O 3.36
Cr 0.7500 0.2500 0.5000  4 Pb 3.00, 2 O 3.36
O 0.5000 0.5000 0.0000  4 Pb 2.39
O 0.2500 0.7500 0.5000  4 Pb 2.39
Pb 0.3750 0.4386 0.7500  2 O 2.39
Pb 0.8750 0.8114 0.7500  2 O 2.39
Pb 0.1886 0.6250 0.2500  2 O 2.39
Pb 0.5614 0.1250 0.2500  2 O 2.39

D(E_F)	6.474	states/eV per cell
V	174	Å³ per cell
total DFT energy (no corrections)	-4.34	eV/atom

[5]
## CrPb2O2 (PBE+U)

Data for crystalline CrPb2O2 at its relaxed geometry.

a = 5.1750 Å, b = 5.1750 Å, c = 5.4469 Å
α = 61.64°, β = 61.64°, γ = 90.00°
With the nearest neighbours (Å) after each atom.
Element x y z (fractional)
O 0.7560 0.7560 0.4880  1 Cr 1.97
O 0.2440 0.2440 0.5120  1 Cr 1.97
Cr 0.0000 0.0000 0.0000  2 O 1.97
Pb 0.2500 0.7500 0.5000  4 O 2.59
Pb 0.7500 0.2500 0.5000  4 O 2.59

D(E_F)	1.118	states/eV per cell
V	108	Å³ per cell
total DFT energy (no corrections)	-5.61	eV/atom

[6]
## Cr3PbO (PBE+U)

Data for crystalline Cr3PbO at its relaxed geometry.

a = 5.3902 Å, b = 5.3902 Å, c = 5.3902 Å
α = 90.00°, β = 90.00°, γ = 90.00°
With the nearest neighbours (Å) after each atom.
Element x y z (fractional)
Pb 0.0000 0.0000 0.0000  6 Cr 2.70
Cr 0.0000 0.5000 0.0000  2 Pb 2.70
Cr 0.5000 0.0000 0.0000  2 Pb 2.70
Cr 0.0000 0.0000 0.5000  2 Pb 2.70
O 0.5000 0.5000 0.5000  12 Cr 3.81

D(E_F)	15.788	states/eV per cell
V	157	Å³ per cell
total DFT energy (no corrections)	-4.80	eV/atom

Q: Which of these has the lowest D(E_F)?
A: CrPb2O2

Q: Among the records above, which one has the lowest total DFT energy (no corrections)?
A: number 3

Q: The highest V belongs to which entry?
A: number 3

Q: The highest total DFT energy (no corrections) belongs to which entry?
A: CrPb2O